Record 1
A relaxed LaDy2Tm4 crystal, computed with GGA-PBE.

The value obtained for the energy above the lowest structure with this stoichiometry is 0 meV per atom. Its symmetry is P1, No. 1. The formation energy is 0.0420 eV/atom. For the density of states at the Fermi level, the calculation gives 22.4 states/eV per cell. As for the volume: 222 Å³/f.u. Its total energy is -4.532 eV/atom.

Cell lengths 7.037, 8.555, 8.756 Å; angles 114.43, 101.58, 101.92 degrees
Atoms (fractional coordinates):
Dy  0.720  0.675  0.438
Dy  0.130  0.139  0.608
Dy  0.800  0.413  0.033
Dy  0.445  0.835  0.171
Tm  0.624  0.129  0.602
Tm  0.528  0.566  0.773
Tm  0.335  0.239  0.316
Tm  0.828  0.242  0.316
Tm  0.026  0.566  0.775
Tm  0.946  0.836  0.180
Tm  0.307  0.414  0.038
Tm  0.421  0.013  0.902
La  0.221  0.673  0.447
La  0.919  0.010  0.902



Record 2
A relaxed La5Dy2Tm5 crystal, computed with GGA-PBE.

Its symmetry is C2/m, No. 12. The formation energy is 0.0331 eV/atom. For the density of states at the Fermi level, the calculation gives 18.5 states/eV per cell. As for the volume: 398 Å³/f.u. Its total energy is -4.650 eV/atom.

Cell lengths 5.076, 10.800, 8.104 Å; angles 98.68, 71.75, 76.41 degrees
Atoms (fractional coordinates):
La  0.668  0.251  0.412
La  0.997  0.252  0.755
La  0.003  0.748  0.245
La  0.332  0.749  0.588
La  0.000  0.000  0.000
Dy  0.332  0.501  0.834
Dy  0.668  0.499  0.166
Tm  0.000  0.500  0.500
Tm  0.669  0.746  0.916
Tm  0.333  0.000  0.335
Tm  0.667  0.000  0.665
Tm  0.331  0.254  0.084



Record 3
A relaxed La5Dy4Tm4 crystal, computed with GGA-PBE.

Its symmetry is I4/m, No. 87. The formation energy is 0.0337 eV/atom. For the density of states at the Fermi level, the calculation gives 21.3 states/eV per cell. As for the volume: 432 Å³/f.u. Its total energy is -4.653 eV/atom.

Cell lengths 5.082, 9.561, 9.561 Å; angles 85.95, 74.59, 74.59 degrees
Atoms (fractional coordinates):
La  0.694  0.845  0.766
La  0.306  0.155  0.234
La  0.000  0.000  0.000
La  0.540  0.766  0.155
La  0.460  0.234  0.845
Dy  0.925  0.462  0.689
Dy  0.613  0.311  0.462
Dy  0.075  0.538  0.311
Dy  0.387  0.689  0.538
Tm  0.765  0.390  0.079
Tm  0.235  0.610  0.921
Tm  0.844  0.921  0.390
Tm  0.156  0.079  0.610